Below is a relaxed Be4CuMo crystal, with properties calculated at the GGA-PBE level.

* uncorrected energy: -4.96 eV/atom
* DFT formation energy: 8 meV per atom
* N(E_F): 0.369 states/eV per atom

a b c (Å): 6.189 6.189 6.189
angles (deg): 90.00 90.00 90.00
Space group F-43m (No. 216)
Asymmetric unit:
Be: 0.122 0.122 0.122 (multiplicity 16)
Cu: 0.000 0.000 0.500 (multiplicity 4)
Mo: 0.250 0.250 0.750 (multiplicity 4)

=====

Below is a relaxed BeCu4Mo crystal, with properties calculated at the GGA-PBE level.

* uncorrected energy: -4.78 eV/atom
* DFT formation energy: 380 meV per atom
* N(E_F): 0.538 states/eV per atom

a b c (Å): 6.722 6.722 6.722
angles (deg): 90.00 90.00 90.00
Space group F-43m (No. 216)
Asymmetric unit:
Be: 0.000 0.000 0.000 (multiplicity 4)
Cu: 0.125 0.125 0.625 (multiplicity 16)
Mo: 0.250 0.250 0.250 (multiplicity 4)

=====

Below is a relaxed BeCuMo2 crystal, with properties calculated at the GGA-PBE level.

* uncorrected energy: -7.20 eV/atom
* DFT formation energy: 168 meV per atom
* N(E_F): 0.710 states/eV per atom

a b c (Å): 9.401 2.601 4.523
angles (deg): 90.00 109.26 90.00
Space group Cm (No. 8)
Asymmetric unit:
Be: 0.000 0.000 0.000 (multiplicity 2)
Cu: 0.198 0.500 0.276 (multiplicity 2)
Mo: 0.256 0.000 0.816 (multiplicity 2)
Mo: 0.462 0.000 0.486 (multiplicity 2)

=====

Below is a relaxed BeCuMo2 crystal, with properties calculated at the GGA-PBE level.

* uncorrected energy: -7.00 eV/atom
* DFT formation energy: 370 meV per atom
* N(E_F): 0.767 states/eV per atom

a b c (Å): 2.6922 2.6922 26.1243
angles (deg): 90.00 90.00 120.00
Space group R-3m (No. 166, hexagonal axes)
Asymmetric unit:
Be: 0.0000 0.0000 0.0000 (multiplicity 3)
Cu: 0.0000 0.0000 0.5000 (multiplicity 3)
Mo: 0.0000 0.0000 0.2534 (multiplicity 6)